First-principles (GGA+U) data for TcNiBrO4 after structural relaxation, as listed in Alexandria.

a = 6.9723 Å, b = 6.9723 Å, c = 7.3189 Å
α = 71.08°, β = 71.08°, γ = 59.29°
With the nearest neighbours (Å) after each atom.
Sites, in units of the cell vectors:
Tc  0.6487  0.6487  0.7004  4 O 1.71-1.76
Tc  0.3513  0.3513  0.2996  4 O 1.71-1.76
Ni  0.1393  0.1393  0.8311  3 O 2.03-2.04
Ni  0.8607  0.8607  0.1689  3 O 2.03-2.04
Br  0.0577  0.0577  0.1976  2 Ni 2.47-2.49
Br  0.9423  0.9423  0.8024  2 Ni 2.47-2.49
O  0.2469  0.2469  0.5420  1 Tc 1.75
O  0.7531  0.7531  0.4580  1 Tc 1.75
O  0.1259  0.5419  0.1746  1 Tc 1.76
O  0.4912  0.4912  0.3031  1 Tc 1.71
O  0.4581  0.8741  0.8254  1 Tc 1.76
O  0.5419  0.1259  0.1746  1 Tc 1.76
O  0.5088  0.5088  0.6969  1 Tc 1.71
O  0.8741  0.4581  0.8254  1 Tc 1.76

Calculated values
VASP energy (eV/atom): -6.04
Size of the total moment (μB per formula unit): 2.0